1.
Below is an optimized crystal structure of Pu3FeRu2, with properties calculated at the GGA-PBE level.

a = 3.406 Å, b = 3.406 Å, c = 9.120 Å
α = 90.00°, β = 90.00°, γ = 90.00°
Last column: magnetic moment on the atom in μB.
Atoms (fractional coordinates):
1 Pu 0.000 0.000 0.000  4.96
2 Pu 0.000 0.000 0.626  -0.21
3 Pu 0.000 0.000 0.374  -0.21
4 Fe 0.500 0.500 0.500  0.47
5 Ru 0.500 0.500 0.811  -0.35
6 Ru 0.500 0.500 0.189  -0.35

Properties
Total magnetization, μB/cell: 4.55
DOS at the Fermi energy, states/eV/cell: 19.3
Mass density, g/cm³: 15.5
Energy, eV/atom: -11.385
Space group: P4/mmm

2.
Below is an optimized crystal structure of Pu8Fe5Ru, with properties calculated at the GGA-PBE level.

a = 7.114 Å, b = 7.114 Å, c = 7.114 Å
α = 109.56°, β = 109.28°, γ = 109.56°
Last column: magnetic moment on the atom in μB.
Atoms (fractional coordinates):
1 Pu 0.123 0.755 0.008  5.12
2 Pu 0.992 0.115 0.747  5.12
3 Pu 0.750 0.247 0.372  5.15
4 Pu 0.628 0.378 0.875  5.15
5 Pu 0.497 0.622 0.250  5.15
6 Pu 0.632 0.885 0.877  5.12
7 Pu 0.253 0.245 0.368  5.12
8 Pu 0.125 0.753 0.503  5.15
9 Fe 0.003 0.379 0.131  -1.79
10 Fe 0.869 0.872 0.247  -1.79
11 Fe 0.753 0.621 0.625  -1.79
12 Fe 0.500 0.000 0.500  -1.74
13 Fe 0.375 0.128 0.997  -1.79
14 Ru 0.250 0.500 0.750  -0.61

Properties
Total magnetization, μB/cell: 33.55
DOS at the Fermi energy, states/eV/cell: 40.0
Mass density, g/cm³: 14.0
Energy, eV/atom: -11.791
Space group: I-4

3.
Below is an optimized crystal structure of Pu4Fe2Ru, with properties calculated at the GGA-PBE level.

a = 7.154 Å, b = 7.154 Å, c = 7.154 Å
α = 109.46°, β = 109.49°, γ = 109.46°
Last column: magnetic moment on the atom in μB.
Atoms (fractional coordinates):
1 Pu 0.132 0.884 0.379  5.12
2 Pu 0.621 0.753 0.505  5.12
3 Pu 0.998 0.616 0.745  5.12
4 Pu 0.255 0.253 0.871  5.12
5 Pu 0.618 0.747 0.002  5.12
6 Pu 0.752 0.247 0.868  5.12
7 Pu 0.495 0.116 0.248  5.12
8 Pu 0.129 0.384 0.382  5.12
9 Fe 0.875 0.124 0.499  -1.84
10 Fe 0.501 0.376 0.625  -1.84
11 Fe 0.375 0.876 0.751  -1.84
12 Fe 0.249 0.624 0.125  -1.84
13 Ru 0.000 0.000 0.000  -0.60
14 Ru 0.750 0.500 0.250  -0.60

Properties
Total magnetization, μB/cell: 34.34
DOS at the Fermi energy, states/eV/cell: 41.8
Mass density, g/cm³: 14.0
Energy, eV/atom: -11.881
Space group: I-42d

4.
Below is an optimized crystal structure of Pu6FeRu5, with properties calculated at the GGA-PBE level.

a = 4.804 Å, b = 8.297 Å, c = 8.297 Å
α = 120.51°, β = 106.89°, γ = 106.89°
Last column: magnetic moment on the atom in μB.
Atoms (fractional coordinates):
1 Ru 0.500 0.168 0.832  -0.74
2 Ru 0.000 0.334 0.666  -0.72
3 Ru 0.500 0.500 0.500  -0.77
4 Ru 0.000 0.666 0.334  -0.72
5 Ru 0.500 0.832 0.168  -0.74
6 Fe 0.000 0.000 0.000  -2.24
7 Pu 0.249 0.083 0.414  4.94
8 Pu 0.751 0.586 0.917  4.94
9 Pu 0.747 0.247 0.247  5.00
10 Pu 0.253 0.753 0.753  5.00
11 Pu 0.249 0.414 0.083  4.94
12 Pu 0.751 0.917 0.586  4.94

Properties
Total magnetization, μB/cell: 25.00
DOS at the Fermi energy, states/eV/cell: 32.5
Mass density, g/cm³: 14.6
Energy, eV/atom: -11.841
Space group: C2/m